# 1
Pm4Cd2Co: optimized geometry, PBE.

Cell and atoms, written as extended XYZ:
```
7
Lattice="5.1880 0.0000 0.0000 0.0000 5.1880 0.0000 -2.5940 -2.5940 7.9538" Properties=species:S:1:pos:R:3 pbc="T T T"
Co 0.0000 0.0000 0.0000
Pm 0.0000 0.0000 2.7797
Cd 2.5940 2.5940 2.0672
Cd 0.0000 0.0000 5.8866
Pm 0.0000 2.5940 0.0000
Pm 2.5940 2.5940 5.1741
Pm 2.5940 0.0000 0.0000
```

Symmetry   I4/mmm
Energy of formation   -61 meV/atom


# 2
Pm8Cd2Co: optimized geometry, PBE.

Cell and atoms, written as extended XYZ:
```
11
Lattice="-2.3803 4.7272 1.7270 -4.0525 0.0415 -5.6990 -2.7928 -6.7688 5.7051" Properties=species:S:1:pos:R:3 pbc="T T T"
Pm -5.9394 -1.8977 5.9822
Pm -6.1380 1.1255 -2.5670
Pm -3.5898 1.5573 -0.2369
Cd -4.2929 -1.5745 -1.6069
Co -1.1901 2.3636 0.8635
Cd -4.9327 -0.4255 3.3399
Pm -2.6831 -1.7523 1.0985
Pm -3.0875 -3.1256 4.3001
Pm -6.5424 -0.2477 0.6346
Pm -5.6358 -3.5574 1.9700
Pm -3.2862 -0.1023 -4.2491
```

Symmetry   C2/m
Energy of formation   -83 meV/atom


# 3
Pm6CdCo2: optimized geometry, PBE.

Cell and atoms, written as extended XYZ:
```
18
Lattice="-4.4882 7.3124 0.0808 -5.2068 -6.4228 -2.2931 3.1999 -1.9665 7.7146" Properties=species:S:1:pos:R:3 pbc="T T T"
Pm -4.7330 2.9263 -0.6102
Pm -1.7621 -4.0032 6.1125
Co -3.2732 0.3003 -0.7469
Pm -4.3635 -2.7623 3.6833
Pm -2.9809 5.1701 1.7990
Co -6.4218 0.5892 -1.4653
Co -5.6263 -2.8110 0.9979
Cd 0.0000 0.0000 0.0000
Co -0.8687 1.7340 4.5044
Pm -5.4429 -0.0413 1.3076
Pm -1.0522 -1.0356 4.1947
Pm -3.8096 -5.0611 0.3312
Pm -4.0497 0.7026 4.6861
Pm -2.6855 3.9842 5.1711
Pm -3.5141 -6.2470 3.7033
Pm -2.4454 -1.7795 0.8162
Pm -2.1315 1.6854 1.8190
Cd -1.0034 -4.1946 2.7107
```

Symmetry   Immm
Relative energy among the computed polymorphs   0 meV/atom
Energy of formation   -145 meV/atom


# 4
Pm6Cd2Co: optimized geometry, PBE.

Cell and atoms, written as extended XYZ:
```
18
Lattice="8.2760 -0.2168 2.9998 -4.4643 7.1899 2.4316 0.0069 -0.2168 8.8029" Properties=species:S:1:pos:R:3 pbc="T T T"
Pm 2.5389 1.7129 9.2693
Pm -1.9938 5.3796 3.0219
Pm 2.4553 0.3497 3.4987
Pm 5.8124 1.3766 11.2123
Co 3.8116 6.9731 5.4314
Pm 3.7328 2.6867 5.3191
Pm 3.5267 5.1628 7.9554
Pm 4.2409 4.8265 11.6945
Pm 0.0858 4.0696 8.9152
Pm 0.2918 1.5935 6.2788
Cd 5.5001 2.2688 7.8374
Co 1.9058 3.4865 2.7157
Pm 1.3633 6.4066 10.7355
Pm -0.4223 1.9297 2.5397
Pm 1.2797 5.0433 4.9649
Cd 5.3269 -0.2168 5.0694
Cd 2.9560 -0.2168 6.7333
Cd -1.6816 4.4875 6.3968
```

Symmetry   Immm
Relative energy among the computed polymorphs   64 meV/atom
Energy of formation   -57 meV/atom


# 5
Pm4CdCo: optimized geometry, PBE.

Cell and atoms, written as extended XYZ:
```
6
Lattice="4.8579 0.0000 0.0000 0.0000 4.8579 0.0000 0.0000 0.0000 7.7577" Properties=species:S:1:pos:R:3 pbc="T T T"
Pm 2.4289 0.0000 2.2423
Pm 2.4289 0.0000 5.5154
Co 2.4289 2.4289 3.8789
Pm 0.0000 2.4289 5.5154
Pm 0.0000 2.4289 2.2423
Cd 0.0000 0.0000 0.0000
```

Symmetry   P4/mmm
Relative energy among the computed polymorphs   261 meV/atom
Energy of formation   59 meV/atom


# 6
Pm2CdCo: optimized geometry, PBE.

Cell and atoms, written as extended XYZ:
```
4
Lattice="3.9509 0.0000 0.0000 1.9755 3.4216 0.0000 1.9755 1.1405 8.0431" Properties=species:S:1:pos:R:3 pbc="T T T"
Pm 1.9755 1.1405 6.5291
Co 3.9509 2.2811 0.0186
Pm 1.9755 1.1405 1.5064
Cd 3.9509 2.2811 4.0104
```

Symmetry   R3m
Relative energy among the computed polymorphs   76 meV/atom
Energy of formation   -85 meV/atom


# 7
Pm4CdCo: optimized geometry, PBE.

Cell and atoms, written as extended XYZ:
```
24
Lattice="-8.3493 4.8511 1.2793 -8.5143 -4.4543 -1.5953 -5.8187 -2.2113 7.4922" Properties=species:S:1:pos:R:3 pbc="T T T"
Pm -14.9238 -1.8539 6.8582
Pm -12.3784 1.1469 3.3888
Pm -18.0805 -0.0198 7.3419
Pm -13.0997 1.2993 6.8126
Pm -14.7766 -0.0960 1.1594
Pm -12.4424 -2.4564 2.2756
Co -11.2766 -0.1409 1.1037
Co -10.1732 -3.2201 3.8125
Pm -18.1429 -3.5379 6.2550
Cd -3.8608 -0.3088 1.2215
Pm -9.4800 2.6749 2.1518
Pm -9.1453 -0.7316 2.8934
Pm -15.8806 0.8162 4.5092
Pm -7.9058 -1.7184 6.0167
Cd -6.5782 -1.7305 0.7123
Pm -15.9430 -2.7019 3.4224
Pm -19.0997 -0.8678 3.9061
Cd -6.5255 1.2394 1.6298
Pm -11.3985 -1.5878 5.7946
Pm -9.5827 -3.1138 0.3636
Pm -13.2023 -4.4893 5.0243
Cd -5.7179 -1.0146 3.6126
Co -10.1013 0.8371 5.0658
Co -13.8135 -1.1050 4.3703
```

Symmetry   F-43m
Relative energy among the computed polymorphs   0 meV/atom
Energy of formation   -201 meV/atom


# 8
Pm6Cd2Co: optimized geometry, PBE.

Cell and atoms, written as extended XYZ:
```
18
Lattice="-0.2686 -0.2549 -7.3718 2.3220 -6.8818 0.1533 -9.5422 -3.2064 0.5962" Properties=species:S:1:pos:R:3 pbc="T T T"
Pm 0.1472 -1.8989 -1.7723
Pm -2.5924 -1.0255 -6.6816
Pm -8.8056 -4.9674 -4.9037
Cd -6.3336 -6.1102 -6.8406
Pm -3.8819 -3.2909 -1.5147
Pm 1.3168 -5.3757 -1.7186
Pm -2.7355 -6.6990 -1.4625
Co -4.7711 -1.6032 0.2981
Cd -2.5810 -0.9631 -3.5289
Pm -1.4195 -4.4044 -4.0013
Co 1.0267 -3.5683 -3.6093
Pm -7.6360 -8.4442 -4.8500
Pm -4.8964 -9.3176 0.0593
Pm -6.0693 -5.9387 -2.6210
Pm -4.7533 -3.6441 -5.1598
Cd -4.9078 -9.3800 -3.0934
Pm -3.6069 -7.0522 -5.1076
Cd -1.1552 -4.2328 0.2183
```

Symmetry   P2_1/c
Relative energy among the computed polymorphs   0 meV/atom
Energy of formation   -120 meV/atom